A relaxed HoTaN2O crystal. Source: the Open Quantum Materials Database, functional PBE.

Summary:
- Calculated total energy: -277.5 eV for the cell shown

Structure (POSCAR):
```
HoTaN2O
1.0
-1.065 0.636 -5.543
3.009 -4.460 1.820
-11.862 -7.420 1.427
N Ho O Ta
12 6 6 6
Direct
0.842 0.158 0.908
0.684 0.842 0.408
0.316 0.158 0.592
0.158 0.842 0.408
0.842 0.684 0.592
0.158 0.316 0.092
0.842 0.684 0.908
0.842 0.158 0.592
0.158 0.316 0.408
0.158 0.842 0.092
0.316 0.158 0.908
0.684 0.842 0.092
0.667 0.333 0.124
0.000 0.000 0.750
0.333 0.667 0.876
0.000 0.000 0.250
0.333 0.667 0.624
0.667 0.333 0.376
0.491 0.983 0.750
0.017 0.509 0.750
0.491 0.509 0.750
0.509 0.017 0.250
0.509 0.491 0.250
0.983 0.491 0.250
0.000 0.000 0.500
0.667 0.333 0.646
0.667 0.333 0.854
0.333 0.667 0.146
0.333 0.667 0.354
0.000 0.000 0.000
```

A relaxed YMgFeSb crystal. Source: the Open Quantum Materials Database, functional PBE.

Summary:
- Excess energy over the best structure of this formula in the dataset: 0.017 eV per atom

Structure (POSCAR):
```
YMgFeSb
1.0
-4.493 -0.999 0.999
-3.383 3.124 -0.988
-3.052 -0.857 -3.483
Fe Y Mg Sb
1 1 1 1
Direct
0.250 0.250 0.250
0.500 0.500 0.500
0.750 0.750 0.750
0.000 0.000 0.000
```

A relaxed CsReAgTe3 crystal. Source: the Open Quantum Materials Database, functional PBE.

Summary:
- Excess energy over the best structure of this formula in the dataset: 0.000 eV per atom

Structure (POSCAR):
```
CsReAgTe3
1.0
9.222 0.000 0.000
0.000 4.103 0.000
-4.528 0.000 10.028
Re Te Cs Ag
2 6 2 2
Direct
0.189 0.250 0.663
0.811 0.750 0.337
0.637 0.250 0.376
0.975 0.750 0.613
0.363 0.750 0.624
0.766 0.750 0.081
0.234 0.250 0.919
0.025 0.250 0.387
0.249 0.750 0.224
0.751 0.250 0.776
0.438 0.750 0.892
0.562 0.250 0.108
```

What V values result from the calculations? In sequence: 65 74 190 Å³/f.u..